First-principles (GGA-PBE) data for Ce2ZrP3Ir4 after structural relaxation, as listed in Alexandria.

Computed properties:
space-group type	P-4m2, No. 115

abc: 4.031 4.031 10.857
angles: 90.00 90.00 90.00
Sites, in units of the cell vectors:
Ce  0.000  0.500  0.231
Ce  0.500  0.000  0.769
Zr  0.000  0.000  0.500
P  0.000  0.500  0.872
P  0.500  0.000  0.128
P  0.500  0.500  0.500
Ir  0.000  0.000  0.000
Ir  0.000  0.500  0.657
Ir  0.500  0.000  0.343
Ir  0.500  0.500  0.000

---

First-principles (GGA-PBE) data for CePa2Ir9 after structural relaxation, as listed in Alexandria.

Computed properties:
space-group type	R-3m, No. 166

abc: 9.320 9.320 9.320
angles: 33.15 33.15 33.15
Sites, in units of the cell vectors:
Ce  0.000  0.000  0.000
Pa  0.137  0.137  0.137
Pa  0.863  0.863  0.863
Ir  0.080  0.585  0.585
Ir  0.334  0.334  0.334
Ir  0.415  0.415  0.920
Ir  0.415  0.920  0.415
Ir  0.500  0.500  0.500
Ir  0.585  0.080  0.585
Ir  0.585  0.585  0.080
Ir  0.666  0.666  0.666
Ir  0.920  0.415  0.415

---

Number 1: ρ 11.6 g/cm3, DFT formation energy -971 meV/atom. Number 2: ρ 18.0 g/cm3, DFT formation energy -630 meV/atom.